The following is a DFT calculation (GGA-PBE) of an optimized crystal structure of ZrPaHg.

```
ZrPaHg
1.0
3.113 0.000 0.000
0.000 3.113 0.000
-0.003 0.000 14.384
Zr Pa Hg
2 2 2
Direct
0.249 0.250 0.238
0.751 0.750 0.762
0.251 0.250 0.590
0.749 0.750 0.410
0.252 0.250 0.917
0.748 0.750 0.083
```

Crystal system = monoclinic
Electronic total energy = -6.128 eV per atom
Energy of formation from the pure elements = -0.01 eV/atom